# 1
Tb4DyCo4 PBE optimized geometry; DFT formation energy = -0.50 eV per formula unit
1.0
5.6084 0.0000 0.0000
0.0000 8.4030 0.0000
0.0000 0.0000 8.4030
Tb Dy Co
8 2 8
direct
0.3813 0.3097 0.9251 Tb
0.8813 0.5749 0.8097 Tb
0.3813 0.6903 0.0749 Tb
0.1187 0.1903 0.5749 Tb
0.6187 0.9251 0.6903 Tb
0.1187 0.8097 0.4251 Tb
0.8813 0.4251 0.1903 Tb
0.6187 0.0749 0.3097 Tb
0.0000 0.0000 0.0000 Dy
0.5000 0.5000 0.5000 Dy
0.6376 0.7620 0.3625 Co
0.6376 0.2380 0.6375 Co
0.1376 0.8625 0.7380 Co
0.8624 0.2620 0.8625 Co
0.8624 0.7380 0.1375 Co
0.3624 0.3625 0.2380 Co
0.3624 0.6375 0.7620 Co
0.1376 0.1375 0.2620 Co



# 2
Tb2DyCo PBE optimized geometry; DFT formation energy = -0.12 eV per formula unit
1.0
-1.6380 1.6887 -2.4740
0.0100 -2.8166 -1.9291
-7.7459 -2.4122 3.4820
Co Tb Dy
1 2 1
direct
0.5000 0.5000 0.0000 Co
0.0000 0.0000 0.8156 Tb
0.0000 0.0000 0.1844 Tb
0.5000 0.5000 0.5000 Dy



# 3
TbDy3Co PBE optimized geometry; DFT formation energy = -0.54 eV per formula unit
1.0
0.2293 6.4217 -3.1013
5.0533 -4.1572 -2.8443
-6.3559 -3.0369 -1.0530
Tb Dy Co
2 6 2
direct
0.7071 0.0474 0.7545 Tb
0.2929 0.9526 0.2455 Tb
0.8413 0.0471 0.2938 Dy
0.2467 0.4526 0.2938 Dy
0.7533 0.5474 0.7062 Dy
0.7061 0.4526 0.1587 Dy
0.1587 0.9529 0.7062 Dy
0.2939 0.5474 0.8413 Dy
0.6263 0.7497 0.3760 Co
0.3737 0.2503 0.6240 Co



# 4
Tb2DyCo2 PBE optimized geometry; DFT formation energy = -0.81 eV per formula unit
1.0
-1.2507 -5.6924 -0.2665
2.2518 2.2489 5.2593
-7.0826 1.5182 0.8102
Tb Dy Co
4 2 4
direct
0.5451 0.3178 0.1506 Tb
0.2273 0.6822 0.3494 Tb
0.4549 0.6822 0.8494 Tb
0.7727 0.3178 0.6506 Tb
0.9131 0.0000 0.2500 Dy
0.0869 0.0000 0.7500 Dy
0.6919 0.6669 0.4854 Co
0.0250 0.3331 0.0146 Co
0.3081 0.3331 0.5146 Co
0.9750 0.6669 0.9854 Co



# 5
Tb4Dy3Co2 PBE optimized geometry; DFT formation energy = -0.86 eV per formula unit
1.0
-0.6736 -2.2070 2.7918
8.7328 -0.3593 1.8230
-3.5210 7.1832 2.4794
Tb Dy Co
4 3 2
direct
0.2281 0.6469 0.4562 Tb
0.7719 0.3531 0.5438 Tb
0.6351 0.8923 0.2701 Tb
0.3649 0.1077 0.7299 Tb
0.0724 0.1932 0.1447 Dy
0.9276 0.8068 0.8553 Dy
0.0000 0.5000 0.0000 Dy
0.3814 0.5637 0.7629 Co
0.6186 0.4363 0.2371 Co



# 6
Tb2DyCo6 PBE optimized geometry; DFT formation energy = -1.59 eV per formula unit
1.0
-3.7372 0.9292 -1.2565
1.3601 -2.6143 -5.9788
-2.5701 -3.8352 4.8080
Tb Dy Co
2 1 6
direct
0.0000 0.3333 0.6667 Tb
0.0000 0.6667 0.3333 Tb
0.0000 0.0000 0.0000 Dy
0.5000 0.3331 0.3331 Co
0.5000 0.6669 0.6669 Co
0.5000 0.0000 0.6669 Co
0.5000 0.6669 0.0000 Co
0.5000 0.3331 0.0000 Co
0.5000 0.0000 0.3331 Co



# 7
TbDyCo10 PBE optimized geometry; DFT formation energy = -1.29 eV per formula unit
1.0
-0.4617 -3.6750 -1.3603
2.8754 1.0637 -3.8494
6.8518 -2.4996 4.4274
Tb Dy Co
1 1 10
direct
0.0000 0.0000 0.0000 Tb
0.0000 0.5000 0.5000 Dy
0.0000 0.0000 0.3338 Co
0.0000 0.5000 0.8317 Co
0.0000 0.5000 0.1683 Co
0.0000 0.0000 0.6662 Co
0.5000 0.0000 0.5000 Co
0.5000 0.5000 0.0000 Co
0.5000 0.2502 0.2504 Co
0.5000 0.7498 0.7496 Co
0.5000 0.7498 0.2504 Co
0.5000 0.2502 0.7496 Co



# 8
TbDy4Co2 PBE optimized geometry; DFT formation energy = -0.36 eV per formula unit
1.0
-3.4578 5.3123 -0.6606
-2.9368 -2.7401 -6.6629
-4.0987 -1.9088 6.1047
Co Tb Dy
4 2 8
direct
0.2500 0.2712 0.9883 Co
0.7500 0.7288 0.0117 Co
0.7500 0.3700 0.4065 Co
0.2500 0.6300 0.5935 Co
0.2500 0.8337 0.9727 Tb
0.7500 0.1663 0.0273 Tb
0.5026 0.4118 0.7572 Dy
0.2500 0.2501 0.3253 Dy
0.7500 0.7499 0.6747 Dy
0.9974 0.4118 0.7572 Dy
0.7500 0.0175 0.3736 Dy
0.0026 0.5882 0.2428 Dy
0.4974 0.5882 0.2428 Dy
0.2500 0.9825 0.6264 Dy



# 9
Tb3DyCo2 PBE optimized geometry; DFT formation energy = -0.35 eV per formula unit
1.0
6.5633 0.0000 0.0000
0.0000 6.9160 0.0000
-3.2816 -3.4580 6.6077
Tb Dy Co
6 2 4
direct
0.5000 0.2500 0.0000 Tb
0.5000 0.7500 0.0000 Tb
0.7643 0.0143 0.5285 Tb
0.2357 0.4857 0.4715 Tb
0.2357 0.9857 0.4715 Tb
0.7643 0.5143 0.5285 Tb
0.0000 0.5000 0.0000 Dy
0.0000 0.0000 0.0000 Dy
0.5860 0.3647 0.7293 Co
0.8566 0.1353 0.2707 Co
0.1434 0.8647 0.7293 Co
0.4140 0.6353 0.2707 Co



# 10
Tb2DyCo PBE optimized geometry; DFT formation energy = -0.51 eV per formula unit
1.0
3.6790 -0.1465 0.0000
-1.6047 6.0071 0.0000
0.0000 0.0000 9.4427
Tb Dy Co
4 2 2
direct
0.1396 0.2792 0.4279 Tb
0.8604 0.7208 0.5721 Tb
0.8604 0.7208 0.9279 Tb
0.1396 0.2792 0.0721 Tb
0.4138 0.8280 0.2500 Dy
0.5862 0.1720 0.7500 Dy
0.7436 0.4877 0.2500 Co
0.2564 0.5123 0.7500 Co



# 11
Tb2DyCo PBE optimized geometry; DFT formation energy = -0.61 eV per formula unit
1.0
-0.2236 -0.3824 6.2039
6.7617 -1.6311 0.1432
2.2094 9.2162 0.6477
Tb Dy Co
8 4 4
direct
0.1765 0.6744 0.0683 Tb
0.3235 0.1744 0.4317 Tb
0.8235 0.3256 0.5683 Tb
0.6765 0.8256 0.9317 Tb
0.8235 0.3256 0.9317 Tb
0.6765 0.8256 0.5683 Tb
0.1765 0.6744 0.4317 Tb
0.3235 0.1744 0.0683 Tb
0.6442 0.5428 0.2500 Dy
0.8558 0.0428 0.2500 Dy
0.3558 0.4572 0.7500 Dy
0.1442 0.9572 0.7500 Dy
0.0500 0.3860 0.2500 Co
0.4500 0.8860 0.2500 Co
0.9500 0.6140 0.7500 Co
0.5500 0.1140 0.7500 Co



# 12
Tb3DyCo2 PBE optimized geometry; DFT formation energy = -0.88 eV per formula unit
1.0
-3.1749 -1.2230 1.5795
-4.3539 -2.9700 -6.5969
1.8076 -9.7396 0.5461
Tb Dy Co
6 2 4
direct
0.1595 0.9287 0.7523 Tb
0.8405 0.0713 0.2477 Tb
0.4161 0.2273 0.9405 Tb
0.5839 0.7727 0.0595 Tb
0.5837 0.2746 0.5580 Tb
0.4163 0.7254 0.4420 Tb
0.8403 0.5712 0.7482 Dy
0.1597 0.4288 0.2518 Dy
0.2334 0.5811 0.9521 Co
0.7666 0.4189 0.0479 Co
0.7662 0.9191 0.5485 Co
0.2338 0.0809 0.4515 Co